Material: Pr3MgTl
Method: DFT, PBE
State: relaxed

```
data_Pr3MgTl
_space_group_name_H-M_alt 'P 1'
_space_group_IT_number 1
_cell_length_a 11.027
_cell_length_b 11.027
_cell_length_c 5.429
_cell_angle_alpha 90.00
_cell_angle_beta 90.00
_cell_angle_gamma 151.45
loop_
_space_group_symop_operation_xyz
'x,y,z'
loop_
_atom_site_label
_atom_site_type_symbol
_atom_site_fract_x
_atom_site_fract_y
_atom_site_fract_z
_atom_site_occupancy
Pr1 Pr 0.058 0.942 0.750 1
Pr2 Pr 0.250 0.750 0.750 1
Pr3 Pr 0.440 0.560 0.750 1
Pr4 Pr 0.560 0.440 0.250 1
Pr5 Pr 0.750 0.250 0.250 1
Pr6 Pr 0.942 0.058 0.250 1
Mg1 Mg 0.153 0.847 0.250 1
Mg2 Mg 0.847 0.153 0.750 1
Tl1 Tl 0.345 0.655 0.250 1
Tl2 Tl 0.655 0.345 0.750 1
```

***

# CoTc | the Alexandria database | PBE | relaxed
# * E above lowest polymorph: 1.488 eV/f.u.
data_CoTc
_space_group_name_H-M_alt 'P 1'
_space_group_IT_number 1
_cell_length_a 3.691
_cell_length_b 3.691
_cell_length_c 4.722
_cell_angle_alpha 90.00
_cell_angle_beta 90.00
_cell_angle_gamma 120.00
loop_
_space_group_symop_operation_xyz
'x,y,z'
loop_
_atom_site_label
_atom_site_type_symbol
_atom_site_fract_x
_atom_site_fract_y
_atom_site_fract_z
_atom_site_occupancy
Co1 Co 0.000 0.000 0.000 1
Co2 Co 0.000 0.000 0.500 1
Tc1 Tc 0.333 0.667 0.250 1
Tc2 Tc 0.667 0.333 0.750 1

***

Material: SrTaHg2
Method: DFT, PBE
State: relaxed

```
data_SrTaHg2
_space_group_name_H-M_alt 'P 1'
_space_group_IT_number 1
_cell_length_a 6.370
_cell_length_b 6.370
_cell_length_c 6.370
_cell_angle_alpha 150.14
_cell_angle_beta 130.13
_cell_angle_gamma 59.21
loop_
_space_group_symop_operation_xyz
'x,y,z'
loop_
_atom_site_label
_atom_site_type_symbol
_atom_site_fract_x
_atom_site_fract_y
_atom_site_fract_z
_atom_site_occupancy
Sr1 Sr 0.000 0.000 0.000 1
Ta1 Ta 0.270 0.770 0.500 1
Hg1 Hg 0.487 0.487 0.000 1
Hg2 Hg 0.731 0.231 0.500 1
```

***

no.,E_form (eV/atom)
1,-0.18
2,0.70
3,0.43